# 1
Material: Mn3NbAl
Method: DFT, PBE
State: optimized geometry

```
data_Mn3NbAl
_chemical_formula_sum 'Mn3 Nb1 Al1'
_cell_length_a 4.310
_cell_length_b 4.310
_cell_length_c 4.310
_cell_angle_alpha 90.00
_cell_angle_beta 90.00
_cell_angle_gamma 90.00
_space_group_name_H-M_alt 'P 1'
_space_group_IT_number 1
_space_group_name_Hall 'P 1'
loop_
_atom_site_label
_atom_site_fract_x
_atom_site_fract_y
_atom_site_fract_z
Mn1 0.000 0.000 0.500
Mn2 0.500 0.000 0.000
Mn3 0.000 0.500 0.000
Al1 0.000 0.000 0.000
Nb1 0.500 0.500 0.500
```

Calculated values
* energy above the lowest structure with this stoichiometry: 0.000 eV/atom

# 2
Material: Mn2NbAlOs
Method: DFT, PBE
State: optimized geometry

```
data_Mn2NbAlOs
_chemical_formula_sum 'Mn2 Nb1 Al1 Os1'
_cell_length_a 4.290
_cell_length_b 4.456
_cell_length_c 4.290
_cell_angle_alpha 90.00
_cell_angle_beta 90.00
_cell_angle_gamma 90.00
_space_group_name_H-M_alt 'P 1'
_space_group_IT_number 1
_space_group_name_Hall 'P 1'
loop_
_atom_site_label
_atom_site_fract_x
_atom_site_fract_y
_atom_site_fract_z
Al1 0.000 0.000 0.000
Os1 0.000 0.500 0.000
Mn1 0.000 0.000 0.500
Mn2 0.500 0.000 0.000
Nb1 0.500 0.500 0.500
```

# 3
Material: Rb2MnNbAl
Method: DFT, PBE
State: optimized geometry

```
data_Rb2MnNbAl
_chemical_formula_sum 'Rb2 Mn1 Nb1 Al1'
_cell_length_a 6.399
_cell_length_b 4.723
_cell_length_c 6.399
_cell_angle_alpha 90.00
_cell_angle_beta 90.00
_cell_angle_gamma 90.00
_space_group_name_H-M_alt 'P 1'
_space_group_IT_number 1
_space_group_name_Hall 'P 1'
loop_
_atom_site_label
_atom_site_fract_x
_atom_site_fract_y
_atom_site_fract_z
Rb1 0.500 0.000 0.000
Rb2 0.000 0.000 0.500
Nb1 0.500 0.500 0.500
Al1 0.000 0.500 0.000
Mn1 0.000 0.000 0.000
```

# 4
Material: MnNbAlRu2
Method: DFT, PBE
State: optimized geometry

```
data_MnNbAlRu2
_chemical_formula_sum 'Mn1 Nb1 Al1 Ru2'
_cell_length_a 4.393
_cell_length_b 4.393
_cell_length_c 4.339
_cell_angle_alpha 90.00
_cell_angle_beta 90.00
_cell_angle_gamma 90.00
_space_group_name_H-M_alt 'P 1'
_space_group_IT_number 1
_space_group_name_Hall 'P 1'
loop_
_atom_site_label
_atom_site_fract_x
_atom_site_fract_y
_atom_site_fract_z
Ru1 0.000 0.500 0.000
Ru2 0.500 0.000 0.000
Al1 0.000 0.000 0.500
Nb1 0.500 0.500 0.500
Mn1 0.000 0.000 0.000
```

| no. | ΔE_f (eV per atom) |
| --- | --- |
| 1 | 1.006 |
| 2 | 1.011 |
| 3 | 1.880 |
| 4 | 0.821 |